! CsGaSn (PBE-GGA, relaxed); values from VASP
! Formation energy from the elements, meV/atom: -143.7
! Crystal system: orthorhombic
! DOS(E_F), states/eV per atom: 0.013
! Theoretical density, kg/m³: 5461
&SYSTEM
  ibrav = 0, nat = 12, ntyp = 3
/
ATOMIC_SPECIES
Sn 118.71 Sn.upf
Cs 132.91 Cs.upf
Ga 69.72 Ga.upf
CELL_PARAMETERS angstrom
9.0965 0.0000 0.0000
0.0000 5.1963 0.0000
0.0000 0.0000 8.2683
ATOMIC_POSITIONS crystal
Sn 0.3374 0.7500 0.9051
Sn 0.8374 0.7500 0.5949
Sn 0.6626 0.2500 0.0949
Sn 0.1626 0.2500 0.4051
Cs 0.5105 0.2500 0.6610
Cs 0.4895 0.7500 0.3390
Cs 0.9895 0.7500 0.1610
Cs 0.0105 0.2500 0.8390
Ga 0.3432 0.2500 0.0897
Ga 0.1568 0.7500 0.5897
Ga 0.8432 0.2500 0.4103
Ga 0.6568 0.7500 0.9103